Entry 1:
PBE TcNiS2, relaxed; ρ = 5.62 g cm⁻³; raw formation energy = -0.342 eV/atom; V = 16.3 A^3/atom; energy above the lowest structure with this stoichiometry = 38 meV per atom; SG = Cm (8)
1.0
6.2848 -1.5824 0.0000
6.2848 1.5824 0.0000
-4.2380 0.0000 6.5656
Tc Ni S
2 2 4
direct
0.0000 0.0000 0.0000
0.6890 0.6890 0.3096
0.3907 0.3907 0.4294
0.8457 0.8457 0.1460
0.0673 0.0673 0.3543
0.3326 0.3326 0.9207
0.6352 0.6352 0.9806
0.8931 0.8931 0.6154

---

Entry 2:
PBE Tc2NiS2, relaxed; ρ = 7.96 g cm⁻³; raw formation energy = 0.151 eV/atom; V = 13.3 A^3/atom; energy above the lowest structure with this stoichiometry = 27 meV per atom; SG = P4/mbm (127)
1.0
6.7655 0.0000 0.0000
0.0000 6.7655 0.0000
0.0000 0.0000 2.9053
Tc Ni S
4 2 4
direct
0.1526 0.3474 0.0000
0.3474 0.8474 0.0000
0.6526 0.1526 0.0000
0.8474 0.6526 0.0000
0.0000 0.0000 0.5000
0.5000 0.5000 0.5000
0.1508 0.6508 0.5000
0.3492 0.1508 0.5000
0.6508 0.8492 0.5000
0.8492 0.3492 0.5000

---

Entry 3:
PBE TcNiS2, relaxed; ρ = 5.05 g cm⁻³; raw formation energy = -0.318 eV/atom; V = 18.2 A^3/atom; energy above the lowest structure with this stoichiometry = 62 meV per atom; SG = P1 (1)
1.0
3.0870 0.0000 0.0000
0.0007 6.7811 0.0000
1.4587 3.1972 6.9389
Tc Ni S
2 2 4
direct
0.0000 0.0000 0.0000
0.4521 0.6288 0.1014
0.4306 0.2305 0.1456
0.5928 0.5247 0.8043
0.0775 0.7691 0.8359
0.1233 0.3412 0.7398
0.3813 0.8717 0.2516
0.8611 0.3465 0.2934

---

Entry 4:
PBE Tc2NiS2, relaxed; ρ = 7.16 g cm⁻³; raw formation energy = 0.123 eV/atom; V = 14.8 A^3/atom; energy above the lowest structure with this stoichiometry = 0 meV per atom; SG = I4/mmm (139)
1.0
-2.0600 2.0600 4.3568
2.0600 -2.0600 4.3568
2.0600 2.0600 -4.3568
Tc Ni S
2 1 2
direct
0.2500 0.7500 0.5000
0.7500 0.2500 0.5000
0.0000 0.0000 0.0000
0.3683 0.3683 0.0000
0.6317 0.6317 0.0000

---

Entry 5:
PBE TcNiS2, relaxed; ρ = 5.82 g cm⁻³; raw formation energy = -0.345 eV/atom; V = 15.8 A^3/atom; energy above the lowest structure with this stoichiometry = 35 meV per atom; SG = Pm (6)
1.0
5.7356 0.0000 0.0000
0.0000 3.0968 0.0000
-0.4302 0.0000 7.0961
Tc Ni S
2 2 4
direct
0.0000 0.0000 0.0000
0.0786 0.5000 0.3252
0.3640 0.5000 0.7552
0.9676 0.0000 0.6268
0.3000 0.5000 0.0588
0.3226 0.0000 0.5230
0.7662 0.5000 0.7773
0.7799 0.0000 0.2648

---

Entry 6:
PBE TcNiS2, relaxed; ρ = 5.06 g cm⁻³; raw formation energy = -0.380 eV/atom; V = 18.1 A^3/atom; energy above the lowest structure with this stoichiometry = 0 meV per atom; SG = P2_1/m (11)
1.0
6.7530 0.0000 0.0000
0.0000 3.0766 0.0000
-0.2960 0.0000 6.9821
Tc Ni S
2 2 4
direct
0.1682 0.2500 0.0360
0.8318 0.7500 0.9640
0.4520 0.7500 0.8586
0.5480 0.2500 0.1414
0.1251 0.7500 0.7830
0.3587 0.7500 0.2621
0.6413 0.2500 0.7379
0.8749 0.2500 0.2170

---

Entry 7:
PBE TcNiS2, relaxed; ρ = 5.15 g cm⁻³; raw formation energy = -0.379 eV/atom; V = 17.8 A^3/atom; energy above the lowest structure with this stoichiometry = 1 meV per atom; SG = C2/m (12)
1.0
6.8696 -1.5399 0.0000
6.8696 1.5399 0.0000
-0.4538 0.0000 6.7300
Tc Ni S
2 2 4
direct
0.2319 0.2319 0.1645
0.7681 0.7681 0.8355
0.1781 0.1781 0.5321
0.8219 0.8219 0.4679
0.1393 0.1393 0.8505
0.3835 0.3835 0.6707
0.6165 0.6165 0.3293
0.8607 0.8607 0.1495

---

Entry 8:
PBE TcNiS2, relaxed; ρ = 7.05 g cm⁻³; raw formation energy = 0.106 eV/atom; V = 13.0 A^3/atom; energy above the lowest structure with this stoichiometry = 486 meV per atom; SG = Fm-3m (225)
1.0
0.0000 2.9621 2.9621
2.9621 0.0000 2.9621
2.9621 2.9621 0.0000
Tc Ni S
1 1 2
direct
0.0000 0.0000 0.0000
0.5000 0.5000 0.5000
0.2500 0.2500 0.2500
0.7500 0.7500 0.7500

---

Entry 9:
PBE TcNiS4, relaxed; ρ = 5.19 g cm⁻³; raw formation energy = -0.353 eV/atom; V = 15.2 A^3/atom; SG = P2_1/c (14)
1.0
5.6158 0.0000 0.0000
0.0000 5.6909 0.0000
-0.0257 0.0000 5.7010
Tc Ni S
2 2 8
direct
0.0000 0.0000 0.0000
0.0000 0.5000 0.5000
0.5000 0.0000 0.5000
0.5000 0.5000 0.0000
0.1087 0.1140 0.3842
0.1087 0.3860 0.8842
0.3874 0.6113 0.3941
0.3874 0.8887 0.8941
0.6126 0.1113 0.1059
0.6126 0.3887 0.6059
0.8913 0.6140 0.1158
0.8913 0.8860 0.6158

---

Entry 10:
PBE TcNi3S, relaxed; ρ = 7.49 g cm⁻³; raw formation energy = 0.521 eV/atom; V = 13.6 A^3/atom; energy above the lowest structure with this stoichiometry = 0 meV per atom; SG = Pm-3m (221)
1.0
4.0791 0.0000 0.0000
0.0000 4.0791 0.0000
0.0000 0.0000 4.0791
Tc Ni S
1 3 1
direct
0.0000 0.0000 0.0000
0.0000 0.5000 0.5000
0.5000 0.0000 0.5000
0.5000 0.5000 0.0000
0.5000 0.5000 0.5000

---

Entry 11:
PBE TcNiS2, relaxed; ρ = 5.83 g cm⁻³; raw formation energy = -0.351 eV/atom; V = 15.7 A^3/atom; energy above the lowest structure with this stoichiometry = 30 meV per atom; SG = Cm (8)
1.0
5.9578 -1.6388 0.0000
5.9578 1.6388 0.0000
-1.1949 0.0000 6.4450
Tc Ni S
2 2 4
direct
0.0000 0.0000 0.0000
0.6782 0.6782 0.1951
0.2795 0.2795 0.5143
0.9051 0.9051 0.3643
0.0922 0.0922 0.3721
0.3358 0.3358 0.1479
0.5964 0.5964 0.8512
0.8598 0.8598 0.6929

---

Entry 12:
PBE Ni2TeS3, relaxed; ρ = 4.94 g cm⁻³; raw formation energy = -0.193 eV/atom; V = 19.1 A^3/atom; SG = C2/m (12)
1.0
5.9278 -3.4413 0.0000
5.9278 3.4413 0.0000
-3.9389 0.0000 5.6208
Ni Te S
4 2 6
direct
0.0000 0.0000 0.0000
0.0000 0.5000 0.5000
0.5000 0.0000 0.5000
0.5000 0.5000 0.0000
0.2339 0.2339 0.7654
0.7661 0.7661 0.2346
0.2342 0.2342 0.2739
0.2341 0.7266 0.7664
0.2734 0.7659 0.2336
0.7266 0.2341 0.7664
0.7659 0.2734 0.2336
0.7658 0.7658 0.7261

---

Question: V of number 2 (Tc2NiS2)?
Answer: 13.3 A^3/atom